1.
Material: MnCrIn2
Method: DFT, PBE-GGA
State: optimized geometry

abc: 4.264 4.264 3.912
angles: 90.00 90.00 90.00
Positions (direct):
Mn: 0.000 0.000 0.000
Cr: 0.500 0.500 0.000
In: 0.000 0.500 0.500
In: 0.500 0.000 0.500

crystal system = tetragonal
energy relative to the lowest polymorph listed for this composition = 88 meV per atom
formation energy from the elements = 0.3232 eV/atom

2.
Material: YAlNi
Method: DFT, PBE-GGA
State: optimized geometry

abc: 8.627 5.321 5.321
angles: 61.15 90.00 90.00
Positions (direct):
Y: 0.182 0.000 0.000
Y: 0.290 0.330 0.330
Y: 0.710 0.330 0.330
Y: 0.818 0.000 0.000
Al: 0.000 0.534 0.534
Al: 0.500 0.337 0.830
Al: 0.500 0.830 0.337
Al: 0.500 0.832 0.832
Ni: 0.000 0.011 0.524
Ni: 0.000 0.524 0.011
Ni: 0.262 0.665 0.665
Ni: 0.738 0.665 0.665

crystal system = orthorhombic
formation energy from the elements = -0.5075 eV/atom

3.
Material: NpNiRh2
Method: DFT, PBE-GGA
State: optimized geometry

abc: 4.490 4.490 4.490
angles: 60.00 60.00 60.00
Positions (direct):
Np: 0.000 0.000 0.000
Ni: 0.500 0.500 0.500
Rh: 0.250 0.250 0.250
Rh: 0.750 0.750 0.750

crystal system = cubic
energy relative to the lowest polymorph listed for this composition = 123 meV per atom
formation energy from the elements = -0.2231 eV/atom

4.
Material: BaCaSc2N
Method: DFT, PBE-GGA
State: optimized geometry

abc: 4.544 4.544 6.017
angles: 90.00 90.00 90.00
Positions (direct):
Ba: 0.000 0.000 0.000
Ca: 0.500 0.500 0.000
Sc: 0.000 0.500 0.500
Sc: 0.500 0.000 0.500
N: 0.000 0.000 0.500

crystal system = tetragonal
formation energy from raw total energies = -0.295 eV/atom

5.
Material: AgAu2Se
Method: DFT, PBE-GGA
State: optimized geometry

abc: 2.901 4.225 6.223
angles: 90.00 90.00 90.00
Positions (direct):
Ag: 0.000 0.000 0.000
Au: 0.000 0.000 0.472
Au: 0.500 0.500 0.244
Se: 0.500 0.500 0.766

crystal system = orthorhombic
formation energy from raw total energies = 0.126 eV/atom

6.
Material: USe
Method: DFT, PBE-GGA
State: optimized geometry

abc: 4.055 4.055 4.055
angles: 60.00 60.00 60.00
Positions (direct):
U: 0.000 0.000 0.000
Se: 0.500 0.500 0.500

crystal system = cubic
formation energy from raw total energies = -0.995 eV/atom

7.
Material: CoBS3
Method: DFT, PBE-GGA
State: optimized geometry

abc: 4.129 4.129 4.129
angles: 90.00 90.00 90.00
Positions (direct):
Co: 0.000 0.000 0.000
B: 0.500 0.500 0.500
S: 0.000 0.500 0.500
S: 0.500 0.000 0.500
S: 0.500 0.500 0.000

crystal system = cubic
energy relative to the lowest polymorph listed for this composition = 0 meV per atom
formation energy from raw total energies = 0.939 eV/atom

8.
Material: CsSnP2Cl
Method: DFT, PBE-GGA
State: optimized geometry

abc: 5.106 5.106 6.107
angles: 90.00 90.00 90.00
Positions (direct):
Cs: 0.000 0.000 0.000
Sn: 0.500 0.500 0.500
P: 0.000 0.500 0.500
P: 0.500 0.000 0.500
Cl: 0.500 0.500 0.000

crystal system = tetragonal
energy relative to the lowest polymorph listed for this composition = 0 meV per atom
formation energy from raw total energies = -0.024 eV/atom

| no. | calculated volume (A^3/atom) |
| --- | --- |
| 1 | 17.8 |
| 2 | 17.8 |
| 3 | 16.0 |
| 4 | 24.8 |
| 5 | 19.1 |
| 6 | 23.6 |
| 7 | 14.1 |
| 8 | 31.8 |